Compound: CdRe2Te
Source: OQMD
Functional: PBE
Structure: optimized geometry

Computed properties:
VASP energy, eV per atom: -6.198

Cell: 6.6091 6.6091 6.6091 Å, 90.00 90.00 90.00°
Space group F-43m (No. 216)
Asymmetric unit:
Cd 0.0000 0.0000 0.0000 x4
Re 0.0000 0.0000 0.5000 x4
Re 0.2500 0.2500 0.2500 x4
Te 0.2500 0.2500 0.7500 x4